{"formula": "SbAs2SeO", "functional": "PBE-GGA", "state": "optimized geometry", "lattice_angstrom": [[5.3385, 0.0000, 0.0000], [0.0000, 5.3385, 0.0000], [0.0000, 0.0000, 5.1653]], "species": ["Sb", "As", "As", "Se", "O"], "fractional_positions": [[0.0000, 0.0000, 0.0000], [0.0000, 0.5000, 0.0000], [0.5000, 0.0000, 0.0000], [0.0000, 0.0000, 0.5000], [0.5000, 0.5000, 0.5000]], "spacegroup": "P4/mmm", "polymorph_energy_mev_per_atom": 1146.7, "e_form_raw_ev_per_fu": 7.12}


{"formula": "TmMnNb2C4", "functional": "PBE-GGA", "state": "optimized geometry", "lattice_angstrom": [[1.6001, -5.5095, 0.0000], [1.6001, 5.5095, 0.0000], [0.0000, 0.0000, 10.8904]], "species": ["Tm", "Tm", "Mn", "Mn", "Nb", "Nb", "Nb", "Nb", "C", "C", "C", "C", "C", "C", "C", "C"], "fractional_positions": [[0.1029, 0.8971, 0.7500], [0.8971, 0.1029, 0.2500], [0.1619, 0.8381, 0.2500], [0.8381, 0.1619, 0.7500], [0.3694, 0.6306, 0.5408], [0.3694, 0.6306, 0.9592], [0.6306, 0.3694, 0.0408], [0.6306, 0.3694, 0.4592], [0.0000, 0.0000, 0.0000], [0.0000, 0.0000, 0.5000], [0.2655, 0.7345, 0.1205], [0.2655, 0.7345, 0.3795], [0.4295, 0.5705, 0.7500], [0.5705, 0.4295, 0.2500], [0.7345, 0.2655, 0.6205], [0.7345, 0.2655, 0.8795]], "spacegroup": "Cmcm", "formation_enthalpy_0k_ev_per_atom": -0.31}


{"formula": "MgAg2Ir", "functional": "PBE-GGA", "state": "optimized geometry", "lattice_angstrom": [[2.8620, 0.0000, 0.0000], [-1.4310, 2.4786, 0.0000], [0.0000, 0.0000, 28.4067]], "species": ["Mg", "Mg", "Mg", "Ag", "Ag", "Ag", "Ag", "Ag", "Ag", "Ir", "Ir", "Ir"], "fractional_positions": [[0.0000, 0.0000, 0.0000], [0.3333, 0.6667, 0.6667], [0.6667, 0.3333, 0.3333], [0.0000, 0.0000, 0.2503], [0.0000, 0.0000, 0.7497], [0.3333, 0.6667, 0.4163], [0.3333, 0.6667, 0.9170], [0.6667, 0.3333, 0.0830], [0.6667, 0.3333, 0.5837], [0.0000, 0.0000, 0.5000], [0.3333, 0.6667, 0.1667], [0.6667, 0.3333, 0.8333]], "spacegroup": "R-3m", "formation_enthalpy_0k_ev_per_atom": 0.16}


{"formula": "PuP2Rh4", "functional": "PBE-GGA", "state": "optimized geometry", "lattice_angstrom": [[7.6023, 0.0000, 0.0000], [0.0000, 7.6023, 0.0000], [0.0000, 0.0000, 3.7286]], "species": ["Pu", "Pu", "P", "P", "P", "P", "Rh", "Rh", "Rh", "Rh", "Rh", "Rh", "Rh", "Rh"], "fractional_positions": [[0.0000, 0.0000, 0.0000], [0.5000, 0.5000, 0.5000], [0.2284, 0.2284, 0.5000], [0.2716, 0.7284, 0.0000], [0.7284, 0.2716, 0.0000], [0.7716, 0.7716, 0.5000], [0.0762, 0.6734, 0.5000], [0.1734, 0.4238, 0.0000], [0.3266, 0.9238, 0.5000], [0.4238, 0.1734, 0.0000], [0.5762, 0.8266, 0.0000], [0.6734, 0.0762, 0.5000], [0.8266, 0.5762, 0.0000], [0.9238, 0.3266, 0.5000]], "spacegroup": "P4_2/mnm", "formation_enthalpy_0k_ev_per_atom": -0.76}


{"formula": "LiSi2Rh2", "functional": "PBE-GGA", "state": "optimized geometry", "lattice_angstrom": [[7.0323, 0.0000, 0.0000], [0.0000, 7.0323, 0.0000], [0.0000, 0.0000, 2.7650]], "species": ["Li", "Li", "Si", "Si", "Si", "Si", "Rh", "Rh", "Rh", "Rh"], "fractional_positions": [[0.0000, 0.0000, 0.0000], [0.5000, 0.5000, 0.0000], [0.1456, 0.3544, 0.0000], [0.3544, 0.8544, 0.0000], [0.6456, 0.1456, 0.0000], [0.8544, 0.6456, 0.0000], [0.1498, 0.6498, 0.5000], [0.3502, 0.1498, 0.5000], [0.6498, 0.8502, 0.5000], [0.8502, 0.3502, 0.5000]], "spacegroup": "P4/mbm", "polymorph_energy_mev_per_atom": 0.0, "e_form_raw_ev_per_fu": -3.79}


{"formula": "YTm2Cd", "functional": "PBE-GGA", "state": "optimized geometry", "lattice_angstrom": [[7.6430, 0.0000, 0.0000], [0.0000, 7.6430, 0.0000], [0.0000, 0.0000, 7.6430]], "species": ["Y", "Y", "Y", "Y", "Tm", "Tm", "Tm", "Tm", "Tm", "Tm", "Tm", "Tm", "Cd", "Cd", "Cd", "Cd"], "fractional_positions": [[0.0000, 0.0000, 0.0000], [0.0000, 0.5000, 0.5000], [0.5000, 0.0000, 0.5000], [0.5000, 0.5000, 0.0000], [0.2500, 0.2500, 0.2500], [0.2500, 0.2500, 0.7500], [0.2500, 0.7500, 0.2500], [0.2500, 0.7500, 0.7500], [0.7500, 0.2500, 0.2500], [0.7500, 0.2500, 0.7500], [0.7500, 0.7500, 0.2500], [0.7500, 0.7500, 0.7500], [0.0000, 0.0000, 0.5000], [0.0000, 0.5000, 0.0000], [0.5000, 0.0000, 0.0000], [0.5000, 0.5000, 0.5000]], "spacegroup": "Fm-3m", "formation_enthalpy_0k_ev_per_atom": 0.02, "polymorph_energy_mev_per_atom": 179.5}


Values of VASP energy, in order: -0.1083 -0.3360 -0.1424 -0.3145 -0.2297 -0.1492, all in hartree per atom.